Compound: FeIF2
Source: Alexandria
Functional: GGA+U
Structure: optimized geometry

Summary:
Energy relative to the lowest polymorph listed for this composition   0.0000 eV per atom
Total energy   -4.248 eV/atom
Space group   No. 122
Crystal system   tetragonal
Fermi-level density of states   4.522 states/eV/f.u.

abc: 6.450 6.450 6.450
angles: 121.77 121.77 86.96
Fractional positions:
Fe  0.000  0.000  0.000
Fe  0.750  0.250  0.500
I  0.250  0.750  0.500
I  0.500  0.500  0.000
F  0.375  0.122  0.247
F  0.872  0.625  0.747
F  0.875  0.128  0.753
F  0.878  0.125  0.253